First-principles (GGA-PBE) data for a relaxed structure of BeNb2CuH, as listed in Alexandria.

Output
space-group type = P4/mmm (123)
relative energy among the computed polymorphs = 0.0 kJ/mol of atoms

```
BeNb2CuH
1.0
4.0210 0.0000 0.0000
0.0000 4.0210 0.0000
0.0000 0.0000 3.7597
Be Nb Cu H
1 2 1 1
Direct
0.0000 0.0000 0.0000 Be
0.0000 0.5000 0.5000 Nb
0.5000 0.0000 0.5000 Nb
0.5000 0.5000 0.0000 Cu
0.5000 0.5000 0.5000 H
```